## Ca2BiPdO6 (PBE-GGA)

Data for a relaxed structure of Ca2BiPdO6.

Output
- Space group: P2_1/c, No. 14
- DOS at the Fermi energy: 0.4639 states/eV/atom
- E_form (uncorrected): -37.588 kcal/mol of atoms

Unit cell a=5.6426 b=5.8640 c=9.7562 alpha=90.00 beta=124.33 gamma=90.00
Fractional coordinates of all 20 atoms:
Ca  0.2280  0.0617  0.2477
Ca  0.2280  0.4383  0.7477
Ca  0.7720  0.5617  0.2523
Ca  0.7720  0.9383  0.7523
Bi  0.5000  0.0000  0.0000
Bi  0.5000  0.5000  0.5000
Pd  0.0000  0.0000  0.5000
Pd  0.0000  0.5000  0.0000
O  0.1239  0.2062  0.9387
O  0.1239  0.2938  0.4387
O  0.2322  0.6930  0.9374
O  0.2322  0.8070  0.4374
O  0.3582  0.0517  0.7385
O  0.3582  0.4483  0.2385
O  0.6418  0.5517  0.7615
O  0.6418  0.9483  0.2615
O  0.7678  0.1930  0.5626
O  0.7678  0.3070  0.0626
O  0.8761  0.7062  0.5613
O  0.8761  0.7938  0.0613



## KZr2Bi (PBE-GGA)

Data for a relaxed structure of KZr2Bi.

Output
- Space group: I-42d, No. 122
- DOS at the Fermi energy: 1.3901 states/eV/atom
- Energy of formation: 0.73 eV/atom

Unit cell a=6.9762 b=6.9762 c=6.9762 alpha=101.73 beta=101.73 gamma=126.41
Fractional coordinates of all 8 atoms:
K  0.0000  0.0000  0.0000
K  0.7500  0.2500  0.5000
Zr  0.1658  0.6250  0.0408
Zr  0.3750  0.4158  0.5407
Zr  0.5843  0.1250  0.9592
Zr  0.8750  0.8342  0.4592
Bi  0.2500  0.7500  0.5000
Bi  0.5000  0.5000  0.0000



## Ho2Mg3Sc3 (PBE-GGA)

Data for a relaxed structure of Ho2Mg3Sc3.

Output
- Space group: Pmmm, No. 47
- DOS at the Fermi energy: 1.3366 states/eV/atom
- Energy of formation: 0.01 eV/atom
- Distance to the lowest polymorph of the same formula: 7 meV per atom

Unit cell a=5.0084 b=5.0455 c=8.0391 alpha=90.00 beta=90.00 gamma=90.00
Fractional coordinates of all 8 atoms:
Ho  0.0000  0.0000  0.2491
Ho  0.0000  0.0000  0.7509
Mg  0.0000  0.5000  0.0000
Mg  0.0000  0.5000  0.5000
Mg  0.5000  0.0000  0.0000
Sc  0.5000  0.0000  0.5000
Sc  0.5000  0.5000  0.2410
Sc  0.5000  0.5000  0.7590



## TiHg3Ge (PBE-GGA)

Data for a relaxed structure of TiHg3Ge.

Output
- Space group: Pm-3m, No. 221
- DOS at the Fermi energy: 0.7229 states/eV/atom
- Energy of formation: 0.74 eV/atom
- Distance to the lowest polymorph of the same formula: 0 meV per atom

Unit cell a=5.2869 b=5.2869 c=5.2869 alpha=90.00 beta=90.00 gamma=90.00
Fractional coordinates of all 5 atoms:
Ti  0.0000  0.0000  0.0000
Hg  0.0000  0.0000  0.5000
Hg  0.0000  0.5000  0.0000
Hg  0.5000  0.0000  0.0000
Ge  0.5000  0.5000  0.5000



It is found that the total energy values, taken in the order of the records, are -118.25; -38.28; -32.84; -9.72 eV per cell.
It is found that the ρ values, taken in the order of the records, are 6.1; 5.9; 4.4; 8.1 g/cm3.